DyHoInAu: optimized geometry, PBE.

Properties
ΔH_f (0 K) in eV per atom: -0.62
Calculated volume in A^3/atom: 25.020
E above lowest polymorph in meV per atom: 54
N(E_F) in states/eV/cell: 2.74

Geometry as POSCAR:
```
DyHoInAu
1.0
0.000 3.685 3.685
3.685 0.000 3.685
3.685 3.685 0.000
Dy Ho In Au
1 1 1 1
Direct
0.000 0.000 0.000
0.500 0.500 0.500
0.250 0.250 0.250
0.750 0.750 0.750
```